No. 1
Below is an optimized crystal structure of TaNiC3, with properties calculated at the PBE-GGA level.

a b c (Å): 4.145 4.145 4.145
angles (deg): 90.00 90.00 90.00
Fractional coordinates of all 5 atoms:
Ni (0.500, 0.500, 0.500)
C (0.500, 0.000, 0.000)
Ta (0.000, 0.000, 0.000)
C (0.000, 0.000, 0.500)
C (0.000, 0.500, 0.000)

Results
- Formation energy: 2.164 eV/atom
- Distance to the lowest polymorph of the same formula: 290.2 meV per atom



No. 2
Below is an optimized crystal structure of In16HgPb12, with properties calculated at the PBE-GGA level.

a b c (Å): 10.432 10.432 10.469
angles (deg): 109.72 109.72 109.64
Fractional coordinates of all 29 atoms:
Pb (0.192, 0.383, 0.978)
In (0.650, 0.003, 0.997)
In (0.422, 0.703, 0.013)
Pb (0.389, 0.018, 0.199)
In (0.991, 0.991, 0.645)
Pb (0.193, 0.799, 0.804)
In (0.686, 0.015, 0.423)
In (0.001, 0.001, 0.000)
Pb (0.806, 0.611, 0.613)
In (0.317, 0.730, 0.303)
Hg (0.564, 0.564, 0.275)
Pb (0.611, 0.806, 0.613)
In (0.578, 0.283, 0.594)
In (0.283, 0.578, 0.594)
Pb (0.189, 0.991, 0.378)
In (0.314, 0.314, 0.714)
Pb (0.796, 0.796, 0.224)
Pb (0.383, 0.192, 0.978)
Pb (0.636, 0.636, 0.839)
Pb (0.991, 0.189, 0.378)
In (0.015, 0.686, 0.423)
Pb (0.799, 0.193, 0.804)
Pb (0.018, 0.389, 0.199)
In (0.003, 0.650, 0.997)
In (0.408, 0.987, 0.677)
In (0.987, 0.408, 0.677)
In (0.344, 0.344, 0.342)
In (0.730, 0.317, 0.303)
In (0.703, 0.422, 0.013)

Results
- Formation energy: 0.046 eV/atom



No. 3
Below is an optimized crystal structure of Ba4MgZr, with properties calculated at the PBE-GGA level.

a b c (Å): 7.323 7.323 7.323
angles (deg): 60.00 60.00 60.00
Fractional coordinates of all 6 atoms:
Ba (0.374, 0.374, 0.374)
Mg (0.750, 0.750, 0.750)
Zr (0.000, 0.000, 0.000)
Ba (0.374, 0.877, 0.374)
Ba (0.374, 0.374, 0.877)
Ba (0.877, 0.374, 0.374)

Results
- Formation energy: 0.749 eV/atom



No. 4
Below is an optimized crystal structure of K4Ce3HfSe8, with properties calculated at the PBE-GGA level.

a b c (Å): 8.497 9.138 8.497
angles (deg): 117.70 120.00 90.00
Fractional coordinates of all 16 atoms:
Se (0.758, 0.704, 0.981)
Se (0.777, 0.296, 0.019)
Se (0.261, 0.283, 0.522)
Se (0.223, 0.704, 0.981)
K (0.000, 0.000, 0.000)
K (0.500, 0.000, 0.000)
Se (0.739, 0.717, 0.478)
Ce (0.000, 0.500, 0.500)
Se (0.223, 0.704, 0.446)
K (0.000, 0.000, 0.500)
Ce (0.500, 0.500, 0.500)
Se (0.242, 0.296, 0.019)
Ce (0.500, 0.500, 0.000)
Hf (0.000, 0.500, 0.000)
K (0.500, 0.000, 0.500)
Se (0.777, 0.296, 0.554)

Results
- Uncorrected energy: -5.315 eV per atom



No. 5
Below is an optimized crystal structure of Te2RuNO, with properties calculated at the PBE-GGA level.

a b c (Å): 5.309 5.309 3.588
angles (deg): 90.00 90.00 90.00
Fractional coordinates of all 5 atoms:
Te (0.000, 0.500, 0.000)
O (0.500, 0.500, 0.500)
Te (0.500, 0.000, 0.000)
N (0.000, 0.000, 0.500)
Ru (0.000, 0.000, 0.000)

Results
- Distance to the lowest polymorph of the same formula: 0.0 meV per atom